Entry from Alexandria via LeMat-Bulk: a relaxed structure of MgCrTc2 (PBE).

Structure (extended XYZ):
```
4
Lattice="-0.335 -0.880 2.521 -3.679 -1.629 -1.057 2.329 -4.452 -1.245" Properties=species:S:1:pos:R:3 pbc="T T T"
Cr 1.147 -2.192 -0.613
Mg -0.268 -4.579 -0.198
Tc 0.024 -0.046 -0.013
Tc -1.423 -2.370 0.420
```

## Properties
ΔH_f (0 K)   31.9 kJ/mol of atoms


Entry from Alexandria via LeMat-Bulk: a relaxed structure of Mg2CrTc (PBE).

Structure (extended XYZ):
```
4
Lattice="2.790 0.003 0.000 -1.066 2.578 0.000 0.000 0.000 9.161" Properties=species:S:1:pos:R:3 pbc="T T T"
Cr 0.862 1.291 6.645
Mg 0.000 0.000 8.938
Mg 0.862 1.291 2.490
Tc 0.000 0.000 4.830
```

## Properties
Polymorph energy (0 for the lowest one)   0.162 eV/atom
ΔH_f (0 K)   25.4 kJ/mol of atoms


Entry from Alexandria via LeMat-Bulk: a relaxed structure of Mg2CrTc (PBE).

Structure (extended XYZ):
```
4
Lattice="2.627 0.000 0.000 0.000 4.475 0.000 0.000 0.000 5.247" Properties=species:S:1:pos:R:3 pbc="T T T"
Cr 1.314 2.238 3.935
Mg 0.000 0.000 5.243
Mg 0.000 0.000 2.628
Tc 1.314 2.238 1.312
```

## Properties
Polymorph energy (0 for the lowest one)   0.318 eV/atom
ΔH_f (0 K)   40.5 kJ/mol of atoms


Entry from Alexandria via LeMat-Bulk: a relaxed structure of MgCrTcW (PBE).

Structure (extended XYZ):
```
4
Lattice="-1.518 0.134 4.145 -2.337 -3.385 1.606 1.756 -2.632 3.081" Properties=species:S:1:pos:R:3 pbc="T T T"
Cr -1.574 -4.413 6.623
Mg -1.050 -2.942 4.416
Tc -0.525 -1.471 2.208
W 0.000 0.000 0.000
```

## Properties
ΔH_f (0 K)   18.2 kJ/mol of atoms


Entry from Alexandria via LeMat-Bulk: a relaxed structure of MgCrTe3 (PBE).

Structure (extended XYZ):
```
5
Lattice="-4.110 -2.722 1.772 -1.289 -1.257 -4.919 2.982 -4.296 0.316" Properties=species:S:1:pos:R:3 pbc="T T T"
Cr 0.000 0.000 0.000
Mg -1.209 -4.137 -1.415
Te -0.645 -0.629 -2.460
Te 1.491 -2.148 0.158
Te -2.055 -1.361 0.886
```

## Properties
Polymorph energy (0 for the lowest one)   0.000 eV/atom
E_form (uncorrected)   0.19 eV/atom


Entry from Alexandria via LeMat-Bulk: a relaxed structure of MgCrTe4 (PBE).

Structure (extended XYZ):
```
6
Lattice="0.000 4.502 4.502 4.502 0.000 4.502 4.502 4.502 0.000" Properties=species:S:1:pos:R:3 pbc="T T T"
Mg 0.000 0.000 0.000
Cr 6.754 6.754 6.754
Te 3.375 5.630 5.630
Te 5.630 5.630 3.375
Te 5.630 3.375 5.630
Te 3.375 3.375 3.375
```

## Properties
E_form (uncorrected)   0.58 eV/atom


Number 1: volume 14.5 Å³/atom. Number 2: volume 16.5 Å³/atom. Number 3: volume 15.4 Å³/atom. Number 4: volume 15.2 Å³/atom. Number 5: volume 28.8 Å³/atom. Number 6: volume 30.4 Å³/atom.